No. 1
First-principles (PBE) data for a geometry-optimized ScMo2Rh structure, as listed in the Alexandria database.

abc: 7.5567 7.5567 5.0554
angles: 90.00 90.00 90.00
Positions (direct):
Sc (0.0000, 0.0000, 0.0000)
Sc (0.0000, 0.5000, 0.2500)
Sc (0.5000, 0.0000, 0.7500)
Sc (0.5000, 0.5000, 0.5000)
Mo (0.2145, 0.2500, 0.6250)
Mo (0.2500, 0.7145, 0.8750)
Mo (0.2500, 0.7855, 0.3750)
Mo (0.2855, 0.2500, 0.1250)
Mo (0.7145, 0.7500, 0.1250)
Mo (0.7500, 0.2145, 0.3750)
Mo (0.7500, 0.2855, 0.8750)
Mo (0.7855, 0.7500, 0.6250)
Rh (0.0000, 0.0000, 0.5000)
Rh (0.0000, 0.5000, 0.7500)
Rh (0.5000, 0.0000, 0.2500)
Rh (0.5000, 0.5000, 0.0000)

Calculated values
**ΔE to the lowest computed polymorph**: 567 meV per atom
**Symmetry**: I-42d
**Total DFT energy (no corrections)**: -8.488 eV per atom
**DOS(E_F)**: 4.3 states/eV/f.u.
**Magnetization**: 0.00 μB/f.u.
**Energy relative to the elements**: 1.39 eV per formula unit



No. 2
First-principles (PBE) data for a geometry-optimized Nd2MgIn2 structure, as listed in the Alexandria database.

abc: 4.8238 3.7422 8.2638
angles: 90.00 106.89 90.00
Positions (direct):
Nd (0.1175, 0.0000, 0.2350)
Nd (0.8825, 0.0000, 0.7650)
Mg (0.5000, 0.5000, 0.0000)
In (0.3039, 0.5000, 0.6082)
In (0.6961, 0.5000, 0.3918)

Calculated values
**Symmetry**: P2/m
**Total DFT energy (no corrections)**: -3.679 eV per atom
**DOS(E_F)**: 5.2 states/eV/f.u.
**Magnetization**: 0.00 μB/f.u.
**Energy relative to the elements**: -1.79 eV per formula unit



No. 3
First-principles (PBE) data for a geometry-optimized Mg4CrNi structure, as listed in the Alexandria database.

abc: 5.4749 5.4749 5.4749
angles: 60.00 60.00 60.00
Positions (direct):
Mg (0.1246, 0.1246, 0.1246)
Mg (0.1246, 0.1246, 0.6262)
Mg (0.1246, 0.6262, 0.1246)
Mg (0.6262, 0.1246, 0.1246)
Cr (0.5000, 0.5000, 0.5000)
Ni (0.7500, 0.7500, 0.7500)

Calculated values
**Symmetry**: F-43m
**Total DFT energy (no corrections)**: -3.134 eV per atom
**DOS(E_F)**: 3.4 states/eV/f.u.
**Magnetization**: 4.34 μB/f.u.
**Energy relative to the elements**: 2.98 eV per formula unit



No. 4
First-principles (PBE) data for a geometry-optimized CaMn2CrPd structure, as listed in the Alexandria database.

abc: 4.6084 4.6084 4.7707
angles: 90.00 90.00 90.00
Positions (direct):
Ca (0.0000, 0.0000, 0.0000)
Mn (0.0000, 0.5000, 0.0000)
Mn (0.5000, 0.0000, 0.0000)
Cr (0.0000, 0.0000, 0.5000)
Pd (0.5000, 0.5000, 0.5000)

Calculated values
**Symmetry**: P4/mmm
**Total DFT energy (no corrections)**: -5.173 eV per atom
**DOS(E_F)**: 4.9 states/eV/f.u.
**Magnetization**: 2.77 μB/f.u.
**Energy relative to the elements**: 9.29 eV per formula unit



No. 5
First-principles (PBE) data for a geometry-optimized NaLiAg2Br4 structure, as listed in the Alexandria database.

abc: 8.9905 7.6196 7.1925
angles: 90.00 90.00 90.00
Positions (direct):
Na (0.0000, 0.1686, 0.0000)
Na (0.5000, 0.8314, 0.5000)
Li (0.0000, 0.8197, 0.5017)
Li (0.5000, 0.1803, 0.0017)
Ag (0.2477, 0.3272, 0.4998)
Ag (0.2523, 0.6728, 0.9998)
Ag (0.7477, 0.6728, 0.9998)
Ag (0.7523, 0.3272, 0.4998)
Br (0.0000, 0.1434, 0.3995)
Br (0.0000, 0.8177, 0.8567)
Br (0.2317, 0.6676, 0.3801)
Br (0.2683, 0.3324, 0.8801)
Br (0.5000, 0.1823, 0.3567)
Br (0.5000, 0.8566, 0.8995)
Br (0.7317, 0.3324, 0.8801)
Br (0.7683, 0.6676, 0.3801)

Calculated values
**Symmetry**: Pmn2_1
**E_form (uncorrected)**: -0.935 eV/atom
**Total DFT energy (no corrections)**: -2.889 eV per atom
**DOS(E_F)**: 0.0 states/eV/f.u.
**Magnetization**: 0.00 μB/f.u.



No. 6
First-principles (PBE) data for a geometry-optimized AcTb2SiN4 structure, as listed in the Alexandria database.

abc: 6.1678 6.1678 11.6389
angles: 90.00 90.00 147.20
Positions (direct):
Ac (0.0870, 0.9130, 0.7500)
Ac (0.9130, 0.0870, 0.2500)
Tb (0.3683, 0.6317, 0.5426)
Tb (0.3683, 0.6317, 0.9574)
Tb (0.6317, 0.3683, 0.0426)
Tb (0.6317, 0.3683, 0.4574)
Si (0.1792, 0.8208, 0.2500)
Si (0.8208, 0.1792, 0.7500)
N (0.0000, 0.0000, 0.0000)
N (0.0000, 0.0000, 0.5000)
N (0.2644, 0.7356, 0.1283)
N (0.2644, 0.7356, 0.3717)
N (0.3986, 0.6014, 0.7500)
N (0.6014, 0.3986, 0.2500)
N (0.7356, 0.2644, 0.6283)
N (0.7356, 0.2644, 0.8717)

Calculated values
**Symmetry**: Cmcm
**E_form (uncorrected)**: -1.318 eV/atom
**Total DFT energy (no corrections)**: -7.830 eV per atom
**DOS(E_F)**: 1.5 states/eV/f.u.
**Magnetization**: 0.00 μB/f.u.



The evaluated ρ for the records listed, in turn: 7.8 6.3 3.0 5.1 3.8 8.7 Mg/m³.